# PBE-GGA MnVH4, relaxed
# E above lowest polymorph ... 0.63 eV per formula unit
# Electronic total energy ... -5.25 eV per atom
data_MnVH4
_chemical_formula_sum 'Mn2 V2 H8'
_symmetry_space_group_name_H-M 'P 1'
_symmetry_Int_Tables_number 1
_symmetry_space_group_name_Hall 'P 1'
_cell_length_a 4.376
_cell_length_b 4.376
_cell_length_c 4.955
_cell_angle_alpha 104.99
_cell_angle_beta 104.99
_cell_angle_gamma 111.96
loop_
_atom_site_label
_atom_site_fract_x
_atom_site_fract_y
_atom_site_fract_z
Mn1 0.046 0.954 0.750
Mn2 0.954 0.046 0.250
V1 0.384 0.616 0.750
V2 0.616 0.384 0.250
H1 0.090 0.789 0.426
H2 0.211 0.910 0.074
H3 0.263 0.459 0.338
H4 0.459 0.263 0.838
H5 0.541 0.737 0.162
H6 0.737 0.541 0.662
H7 0.789 0.090 0.926
H8 0.910 0.211 0.574

=====

# PBE-GGA Mn2VH2, relaxed
# E above lowest polymorph ... 1.07 eV per formula unit
# Electronic total energy ... -6.67 eV per atom
data_Mn2VH2
_chemical_formula_sum 'Mn4 V2 H4'
_symmetry_space_group_name_H-M 'P 1'
_symmetry_Int_Tables_number 1
_symmetry_space_group_name_Hall 'P 1'
_cell_length_a 5.378
_cell_length_b 5.378
_cell_length_c 2.788
_cell_angle_alpha 90.00
_cell_angle_beta 90.00
_cell_angle_gamma 90.00
loop_
_atom_site_label
_atom_site_fract_x
_atom_site_fract_y
_atom_site_fract_z
Mn1 0.143 0.357 0.000
Mn2 0.357 0.857 0.000
Mn3 0.643 0.143 0.000
Mn4 0.857 0.643 0.000
V1 0.000 0.000 0.500
V2 0.500 0.500 0.500
H1 0.195 0.695 0.500
H2 0.305 0.195 0.500
H3 0.695 0.805 0.500
H4 0.805 0.305 0.500

=====

# PBE-GGA MnVH3, relaxed
# E above lowest polymorph ... 0.00 eV per formula unit
# Electronic total energy ... -5.72 eV per atom
data_MnVH3
_chemical_formula_sum 'Mn4 V4 H12'
_symmetry_space_group_name_H-M 'P 1'
_symmetry_Int_Tables_number 1
_symmetry_space_group_name_Hall 'P 1'
_cell_length_a 5.620
_cell_length_b 4.485
_cell_length_c 5.556
_cell_angle_alpha 90.00
_cell_angle_beta 119.53
_cell_angle_gamma 90.00
loop_
_atom_site_label
_atom_site_fract_x
_atom_site_fract_y
_atom_site_fract_z
Mn1 0.089 0.238 0.421
Mn2 0.089 0.262 0.921
Mn3 0.911 0.738 0.079
Mn4 0.911 0.762 0.579
V1 0.413 0.747 0.583
V2 0.413 0.753 0.083
V3 0.587 0.247 0.917
V4 0.587 0.253 0.417
H1 0.070 0.625 0.410
H2 0.070 0.875 0.910
H3 0.269 0.013 0.739
H4 0.269 0.487 0.239
H5 0.301 0.503 0.791
H6 0.301 0.997 0.291
H7 0.699 0.003 0.709
H8 0.699 0.497 0.209
H9 0.731 0.513 0.761
H10 0.731 0.987 0.261
H11 0.930 0.125 0.090
H12 0.930 0.375 0.590

=====

# PBE-GGA MnVH, relaxed
# E above lowest polymorph ... 1.18 eV per formula unit
# Electronic total energy ... -6.93 eV per atom
data_MnVH
_chemical_formula_sum 'Mn1 V1 H1'
_symmetry_space_group_name_H-M 'P 1'
_symmetry_Int_Tables_number 1
_symmetry_space_group_name_Hall 'P 1'
_cell_length_a 4.250
_cell_length_b 4.250
_cell_length_c 4.250
_cell_angle_alpha 141.08
_cell_angle_beta 141.08
_cell_angle_gamma 56.22
loop_
_atom_site_label
_atom_site_fract_x
_atom_site_fract_y
_atom_site_fract_z
Mn1 0.000 0.000 0.000
V1 0.700 0.700 0.000
H1 0.239 0.239 0.000

=====

# PBE-GGA Mn2V2H3, relaxed
# Electronic total energy ... -6.78 eV per atom
data_Mn2V2H3
_chemical_formula_sum 'Mn2 V2 H3'
_symmetry_space_group_name_H-M 'P 1'
_symmetry_Int_Tables_number 1
_symmetry_space_group_name_Hall 'P 1'
_cell_length_a 2.748
_cell_length_b 4.463
_cell_length_c 4.710
_cell_angle_alpha 102.16
_cell_angle_beta 106.76
_cell_angle_gamma 90.13
loop_
_atom_site_label
_atom_site_fract_x
_atom_site_fract_y
_atom_site_fract_z
Mn1 0.131 0.380 0.259
Mn2 0.869 0.620 0.741
V1 0.388 0.167 0.778
V2 0.612 0.833 0.222
H1 0.000 0.000 0.000
H2 0.256 0.751 0.513
H3 0.744 0.249 0.487

=====

# PBE-GGA Mn2VH, relaxed
# E above lowest polymorph ... 0.60 eV per formula unit
# Electronic total energy ... -7.41 eV per atom
data_Mn2VH
_chemical_formula_sum 'Mn2 V1 H1'
_symmetry_space_group_name_H-M 'P 1'
_symmetry_Int_Tables_number 1
_symmetry_space_group_name_Hall 'P 1'
_cell_length_a 2.799
_cell_length_b 2.799
_cell_length_c 4.982
_cell_angle_alpha 90.00
_cell_angle_beta 90.00
_cell_angle_gamma 90.00
loop_
_atom_site_label
_atom_site_fract_x
_atom_site_fract_y
_atom_site_fract_z
Mn1 0.000 0.000 0.204
Mn2 0.000 0.000 0.796
V1 0.500 0.500 0.500
H1 0.500 0.500 0.000